Here is crystalline TbNd2Zn9 at its relaxed geometry from the Alexandria database. Energies are from PBE.

abc: 9.3055 9.3055 9.3055
angles: 34.34 34.34 34.34
Atoms (fractional coordinates):
Tb 0.0000 0.0000 0.0000
Nd 0.1403 0.1403 0.1403
Nd 0.8597 0.8597 0.8597
Zn 0.0767 0.5822 0.5822
Zn 0.3347 0.3347 0.3347
Zn 0.4178 0.4178 0.9233
Zn 0.4178 0.9233 0.4178
Zn 0.5000 0.5000 0.5000
Zn 0.5822 0.0767 0.5822
Zn 0.5822 0.5822 0.0767
Zn 0.6653 0.6653 0.6653
Zn 0.9233 0.4178 0.4178

VASP energy: -0.089 hartree per atom
Spin magnetization: 0.00 μB/cell
Space group: No. 166
ΔE_f: -293 meV per atom